Tl2POs | Alexandria | GGA-PBEsol | relaxed; volume = 75.39 Å³/f.u.; formation enthalpy at 0 K = 0.98 eV per atom; SG = C2/m, No. 12; calculated total energy = -4.8345 eV/atom
1.0
-0.657 -0.854 -3.158
2.043 -4.090 0.681
-4.117 -1.138 2.928
P Os Tl
1 1 2
Cartesian
1.021 -2.045 0.340
-0.329 -0.427 -1.579
-1.147 -4.359 -0.345
-1.585 -1.723 0.796

LaRuRh2 | Alexandria | GGA-PBEsol | relaxed; volume = 67.33 Å³/f.u.; formation enthalpy at 0 K = 0.16 eV per atom; SG = P4mm, No. 99; calculated total energy = -7.7919 eV/atom
1.0
-1.848 0.210 -2.262
-1.175 -2.584 0.720
-5.213 3.653 4.598
Rh Ru La
2 1 1
Cartesian
-0.194 0.136 0.171
-2.846 -0.252 0.406
-2.352 1.648 2.075
-5.450 1.573 2.703

Li2HfIrPb | Alexandria | GGA-PBEsol | relaxed; volume = 124.28 Å³/f.u.; formation enthalpy at 0 K = 0.92 eV per atom; SG = P4/mmm, No. 123; calculated total energy = -4.7329 eV/atom
1.0
-0.577 -4.488 -1.189
4.236 -1.248 2.657
-2.866 -0.749 4.218
Hf Ir Pb Li
1 1 1 2
Cartesian
0.000 0.000 0.000
-0.288 -2.244 -0.594
0.397 -3.243 2.843
-1.433 -0.374 2.109
2.118 -0.624 1.328

Cr2CoRu | Alexandria | GGA-PBEsol | relaxed; volume = 46.11 Å³/f.u.; formation enthalpy at 0 K = 0.15 eV per atom; SG = Cm, No. 8; calculated total energy = -9.4486 eV/atom
1.0
-0.928 -0.739 2.269
0.657 -3.603 -2.349
3.997 0.439 1.777
Co Cr Ru
1 2 1
Cartesian
0.543 -2.242 0.937
0.080 -0.045 0.018
3.077 -1.655 0.719
2.216 -3.713 -0.303

K2LiMn2O4 | Alexandria | GGA-PBEsol | relaxed; volume = 127.73 Å³/f.u.; E_form (uncorrected) = -1444 meV/atom; SG = C2/c, No. 15; calculated total energy = -6.4163 eV/atom
1.0
6.321 -0.040 -0.068
-0.392 6.309 0.041
-0.324 -0.453 6.408
Mn O K Li
4 8 4 2
Cartesian
2.422 0.961 3.455
3.182 4.856 2.927
1.046 2.642 0.276
4.559 3.174 6.106
1.490 1.730 4.913
4.114 4.087 1.468
1.890 1.731 1.705
3.714 4.086 4.677
1.458 5.350 3.608
4.146 0.467 2.773
0.121 3.894 6.040
5.483 1.923 0.341
5.920 -0.230 4.741
3.161 -0.020 -0.034
-0.358 2.928 3.225
-0.316 6.047 1.640
3.827 2.130 1.573
1.778 3.687 4.808

Zr2H2Rh | Alexandria | GGA-PBEsol | relaxed; volume = 60.88 Å³/f.u.; SG = I4/mmm, No. 139; calculated total energy = -7.2392 eV/atom
1.0
3.152 0.000 0.000
0.000 3.152 0.000
-1.576 -1.576 6.129
Rh Zr H
1 2 2
Cartesian
0.000 0.000 0.000
0.000 0.000 4.422
1.576 1.576 1.708
0.000 1.576 3.065
1.576 0.000 3.065

BaTa3Cu | Alexandria | GGA-PBEsol | relaxed; volume = 111.25 Å³/f.u.; formation enthalpy at 0 K = 1.48 eV per atom; SG = Pm-3m, No. 221; calculated total energy = -7.3488 eV/atom
1.0
4.810 0.000 0.000
0.000 4.810 0.000
0.000 0.000 4.810
Ta Ba Cu
3 1 1
Cartesian
2.405 0.000 0.000
0.000 2.405 0.000
0.000 0.000 2.405
2.405 2.405 2.405
0.000 0.000 0.000

BaMg2Cu | Alexandria | GGA-PBEsol | relaxed; volume = 115.86 Å³/f.u.; formation enthalpy at 0 K = 0.10 eV per atom; SG = Cmmm, No. 65; calculated total energy = -2.3828 eV/atom
1.0
-2.167 2.540 -2.837
-4.091 -3.467 0.022
-0.464 3.792 3.749
Mg Ba Cu
2 1 1
Cartesian
-1.437 -0.515 0.636
-3.119 0.841 3.136
-1.316 3.166 0.456
-3.129 -0.463 -1.407

ReIr3 | Alexandria | GGA-PBEsol | relaxed; volume = 56.78 Å³/f.u.; formation enthalpy at 0 K = -0.12 eV per atom; SG = P-6m2, No. 187; calculated total energy = -10.8185 eV/atom
1.0
-1.321 -0.862 -2.235
0.096 -1.583 2.228
-7.383 3.692 2.940
Ir Re
3 1
Cartesian
0.000 0.000 0.000
-2.271 -0.395 1.495
-5.865 1.402 2.927
-3.692 1.846 1.470

AlFeOs2 | Alexandria | GGA-PBEsol | relaxed; volume = 52.95 Å³/f.u.; formation enthalpy at 0 K = -0.03 eV per atom; SG = Pmm2, No. 25; calculated total energy = -9.4020 eV/atom
1.0
2.730 0.000 0.000
0.000 3.770 0.000
0.000 0.000 5.146
Fe Al Os
1 1 2
Cartesian
1.365 1.885 3.820
0.000 0.000 2.629
0.000 0.000 0.013
1.365 1.885 1.256

LiReRu2 | Alexandria | GGA-PBEsol | relaxed; volume = 56.03 Å³/f.u.; formation enthalpy at 0 K = 0.40 eV per atom; SG = Cmm2, No. 35; calculated total energy = -8.5062 eV/atom
1.0
-2.164 1.405 -0.451
0.452 -1.999 -1.630
-4.737 -5.540 5.480
Re Ru Li
1 2 1
Cartesian
-2.006 -1.642 0.289
-4.424 -4.469 3.087
-4.733 -5.535 5.475
-2.393 -2.798 2.768

Be2SnPd | Alexandria | GGA-PBEsol | relaxed; volume = 60.69 Å³/f.u.; formation enthalpy at 0 K = 0.31 eV per atom; SG = I-42d, No. 122; calculated total energy = -4.2406 eV/atom
1.0
5.187 0.000 0.000
2.594 4.838 0.000
2.594 0.000 4.838
Be Sn Pd
4 2 2
Cartesian
4.539 4.628 2.210
4.539 0.209 2.628
3.242 2.210 0.209
8.429 2.628 4.628
0.000 0.000 0.000
6.484 2.419 2.419
3.890 2.419 2.419
2.594 0.000 0.000

Cs2NbSn | Alexandria | GGA-PBEsol | relaxed; volume = 154.30 Å³/f.u.; formation enthalpy at 0 K = 1.28 eV per atom; SG = Fm-3m, No. 225; calculated total energy = -2.9625 eV/atom
1.0
6.020 0.000 0.000
3.010 5.214 0.000
3.010 1.738 4.916
Nb Cs Sn
1 2 1
Cartesian
0.000 0.000 0.000
3.010 1.738 1.229
9.031 5.214 3.687
6.020 3.476 2.458

CdBr4 | Alexandria | GGA-PBEsol | relaxed; volume = 146.20 Å³/f.u.; E_form (uncorrected) = -52 meV/atom; SG = Im-3m, No. 229; calculated total energy = -1.7870 eV/atom
1.0
5.748 0.000 0.000
-1.916 5.419 0.000
-1.916 -2.710 4.693
Br Cd
4 1
Cartesian
2.874 0.000 0.000
-0.958 -1.355 2.347
0.958 1.355 2.347
-0.958 2.710 0.000
0.000 0.000 0.000

Ba4MgRh | Alexandria | GGA-PBEsol | relaxed; volume = 225.42 Å³/f.u.; formation enthalpy at 0 K = 0.77 eV per atom; SG = F-43m, No. 216; calculated total energy = -2.3015 eV/atom
1.0
-6.435 -1.294 1.895
-3.217 -5.533 -2.388
-1.344 -5.237 4.175
Rh Mg Ba
1 1 4
Cartesian
0.000 0.000 0.000
-8.246 -9.048 2.761
-5.734 -7.303 0.171
-4.110 -4.510 1.376
-7.358 -5.163 2.333
-4.788 -7.154 3.484

CoIr2Rh | Alexandria | GGA-PBEsol | relaxed; volume = 52.18 Å³/f.u.; formation enthalpy at 0 K = 0.02 eV per atom; SG = P4mm, No. 99; calculated total energy = -8.8563 eV/atom
1.0
2.674 0.000 0.000
0.000 2.674 0.000
0.000 0.000 7.296
Ir Rh Co
2 1 1
Cartesian
0.000 0.000 7.212
1.337 1.337 1.824
0.000 0.000 3.730
1.337 1.337 5.473

Sr3Hg | Alexandria | GGA-PBEsol | relaxed; volume = 170.99 Å³/f.u.; formation enthalpy at 0 K = -0.25 eV per atom; SG = Imm2, No. 44; calculated total energy = -1.7769 eV/atom
1.0
4.183 0.000 0.000
0.000 6.972 0.000
-2.092 -3.486 5.863
Sr Hg
3 1
Cartesian
0.000 2.585 3.632
2.092 -0.901 2.230
2.092 2.708 0.000
0.000 0.257 0.000

LiCd2In | Alexandria | GGA-PBEsol | relaxed; volume = 82.61 Å³/f.u.; formation enthalpy at 0 K = -0.13 eV per atom; SG = Cm, No. 8; calculated total energy = -1.9642 eV/atom
1.0
3.134 0.000 0.000
-1.567 4.838 -0.037
0.000 -0.941 5.456
In Cd Li
1 2 1
Cartesian
1.567 -0.454 2.792
1.567 2.183 1.305
1.567 3.875 5.373
0.000 1.718 4.096

AlInBr2 | Alexandria | GGA-PBEsol | relaxed; volume = 111.27 Å³/f.u.; E_form (uncorrected) = -276 meV/atom; SG = I-42d, No. 122; calculated total energy = -2.9795 eV/atom
1.0
6.660 -0.417 0.000
-2.996 5.963 0.000
-1.832 -2.773 5.786
In Br Al
2 4 2
Cartesian
-1.498 2.981 2.893
0.000 0.000 0.000
2.106 3.587 2.673
3.604 0.606 0.220
-2.688 0.780 5.566
0.642 0.572 3.114
3.330 -0.209 2.893
1.832 2.773 0.000

Re2Ag2I | Alexandria | GGA-PBEsol | relaxed; volume = 93.25 Å³/f.u.; E_form (uncorrected) = 1320 meV/atom; SG = I4/mmm, No. 139; calculated total energy = -5.6906 eV/atom
1.0
3.817 0.000 0.000
0.000 3.817 0.000
-1.908 -1.908 6.401
Re Ag I
2 2 1
Cartesian
0.000 0.000 5.228
1.908 1.908 1.173
0.000 1.908 3.201
1.908 0.000 3.201
0.000 0.000 0.000

SrYTi3 | Alexandria | GGA-PBEsol | relaxed; volume = 128.42 Å³/f.u.; formation enthalpy at 0 K = 1.21 eV per atom; SG = Pm-3m, No. 221; calculated total energy = -5.5189 eV/atom
1.0
5.045 0.000 0.000
0.000 5.045 0.000
0.000 0.000 5.045
Ti Sr Y
3 1 1
Cartesian
0.000 0.000 2.523
0.000 2.523 0.000
2.523 0.000 0.000
2.523 2.523 2.523
0.000 0.000 0.000

TiZnP2O | Alexandria | GGA-PBEsol | relaxed; volume = 84.94 Å³/f.u.; E_form (uncorrected) = -379 meV/atom; SG = P4/mmm, No. 123; calculated total energy = -5.7260 eV/atom
1.0
-0.538 -3.410 1.180
4.250 0.118 2.281
-2.170 1.711 3.955
P Zn Ti O
2 1 1 1
Cartesian
-1.085 0.855 1.978
2.125 0.059 1.140
0.771 -0.791 3.708
0.000 0.000 0.000
-0.269 -1.705 0.590

K2FeMoPd | Alexandria | GGA-PBEsol | relaxed; volume = 150.42 Å³/f.u.; formation enthalpy at 0 K = 1.62 eV per atom; SG = P4/mmm, No. 123; calculated total energy = -4.1730 eV/atom
1.0
-1.285 3.928 -0.842
-4.395 -2.169 -3.413
-3.611 -0.162 4.753
K Mo Fe Pd
2 1 1 1
Cartesian
-2.197 -1.084 -1.706
-1.806 -0.081 2.377
-0.642 1.964 -0.421
0.000 0.000 0.000
-4.645 0.799 0.249

Zr3ReH | Alexandria | GGA-PBEsol | relaxed; volume = 80.35 Å³/f.u.; SG = Pm-3m, No. 221; calculated total energy = -8.7887 eV/atom
1.0
4.315 0.000 0.000
0.000 4.315 0.000
0.000 0.000 4.315
Zr Re H
3 1 1
Cartesian
0.000 2.158 0.000
2.158 0.000 0.000
0.000 0.000 2.158
2.158 2.158 2.158
0.000 0.000 0.000

NiP | Alexandria | GGA-PBEsol | relaxed; volume = 24.18 Å³/f.u.; formation enthalpy at 0 K = -0.47 eV per atom; SG = Pnma, No. 62; calculated total energy = -6.4401 eV/atom
1.0
3.404 0.000 0.000
0.000 4.826 0.000
0.000 0.000 5.887
P Ni
4 4
Cartesian
2.553 1.242 5.394
2.553 3.655 3.436
0.851 1.171 2.451
0.851 3.584 0.493
2.553 2.404 1.504
0.851 0.009 4.448
0.851 2.422 4.383
2.553 4.817 1.439

MgFeSe2 | Alexandria | GGA-PBEsol | relaxed; volume = 86.11 Å³/f.u.; E_form (uncorrected) = -151 meV/atom; SG = Cmmm, No. 65; calculated total energy = -4.7463 eV/atom
1.0
3.588 0.000 0.000
-1.794 3.405 0.000
0.000 0.000 7.049
Se Mg Fe
2 1 1
Cartesian
0.000 0.000 1.889
0.000 0.000 5.160
1.794 0.000 0.000
1.794 0.000 3.524

GaSeBr2N | Alexandria | GGA-PBEsol | relaxed; volume = 130.12 Å³/f.u.; E_form (uncorrected) = 974 meV/atom; SG = P4/mmm, No. 123; calculated total energy = -2.9174 eV/atom
1.0
4.919 0.000 0.000
0.000 5.143 0.000
0.000 0.000 5.143
Se N Br Ga
1 1 2 1
Cartesian
2.459 0.000 0.000
2.459 2.572 2.572
0.000 2.572 0.000
0.000 0.000 2.572
0.000 0.000 0.000

CoPRu | Alexandria | GGA-PBEsol | relaxed; volume = 35.62 Å³/f.u.; formation enthalpy at 0 K = -0.03 eV per atom; SG = Imm2, No. 44; calculated total energy = -7.9325 eV/atom
1.0
-1.671 2.142 -0.598
-1.610 -0.361 3.203
3.997 1.349 0.134
Co P Ru
1 1 1
Cartesian
0.678 3.094 2.716
-0.836 1.655 1.793
1.590 1.511 0.969